Material: K3PtIF6
Method: DFT, GGA-PBE
State: optimized geometry

Cell: 8.058 8.058 5.999 Å, 90.00 90.00 90.00°
Fractional coordinates of all 22 atoms:
K (0.000, 0.000, 0.000)
K (0.153, 0.347, 0.500)
K (0.347, 0.847, 0.500)
K (0.500, 0.500, 0.000)
K (0.653, 0.153, 0.500)
K (0.847, 0.653, 0.500)
Pt (0.000, 0.500, 0.000)
Pt (0.500, 0.000, 0.000)
I (0.000, 0.000, 0.500)
I (0.500, 0.500, 0.500)
F (0.119, 0.619, 0.239)
F (0.119, 0.619, 0.761)
F (0.173, 0.327, 0.000)
F (0.327, 0.827, 0.000)
F (0.381, 0.119, 0.239)
F (0.381, 0.119, 0.761)
F (0.619, 0.881, 0.239)
F (0.619, 0.881, 0.761)
F (0.673, 0.173, 0.000)
F (0.827, 0.673, 0.000)
F (0.881, 0.381, 0.239)
F (0.881, 0.381, 0.761)

Material: K3TaIF6
Method: DFT, GGA-PBE
State: optimized geometry

Cell: 8.102 8.102 6.181 Å, 90.00 90.00 90.00°
Fractional coordinates of all 22 atoms:
K (0.000, 0.000, 0.000)
K (0.156, 0.344, 0.500)
K (0.344, 0.844, 0.500)
K (0.500, 0.500, 0.000)
K (0.656, 0.156, 0.500)
K (0.844, 0.656, 0.500)
Ta (0.000, 0.500, 0.000)
Ta (0.500, 0.000, 0.000)
I (0.000, 0.000, 0.500)
I (0.500, 0.500, 0.500)
F (0.115, 0.615, 0.248)
F (0.115, 0.615, 0.752)
F (0.170, 0.330, 0.000)
F (0.330, 0.830, 0.000)
F (0.385, 0.115, 0.248)
F (0.385, 0.115, 0.752)
F (0.615, 0.885, 0.248)
F (0.615, 0.885, 0.752)
F (0.670, 0.170, 0.000)
F (0.830, 0.670, 0.000)
F (0.885, 0.385, 0.248)
F (0.885, 0.385, 0.752)

Material: NbI2F2
Method: DFT, GGA-PBE
State: optimized geometry

Cell: 6.819 6.819 6.819 Å, 114.29 109.73 104.55°
Fractional coordinates of all 10 atoms:
Nb (0.000, 0.209, 0.209)
Nb (0.000, 0.791, 0.791)
I (0.227, 0.727, 0.500)
I (0.273, 0.273, 0.000)
I (0.727, 0.727, 0.000)
I (0.773, 0.273, 0.500)
F (0.245, 0.219, 0.464)
F (0.245, 0.781, 0.026)
F (0.755, 0.219, 0.974)
F (0.755, 0.781, 0.536)

So what do the calculations give for E_tot? Going down the list: -3.895, -5.121, -5.071 eV/atom.